1.
MgIO2 after structural relaxation. Source: the Alexandria database, functional PBEsol.

Unit cell a=3.2496 b=3.2496 c=18.6683 alpha=90.00 beta=90.00 gamma=120.00
Element x y z (fractional)
Mg 0.0000 0.0000 0.0000
Mg 0.3333 0.6667 0.6667
Mg 0.6667 0.3333 0.3333
I 0.0000 0.0000 0.5000
I 0.3333 0.6667 0.1667
I 0.6667 0.3333 0.8333
O 0.0000 0.0000 0.3893
O 0.0000 0.0000 0.6107
O 0.3333 0.6667 0.0560
O 0.3333 0.6667 0.2774
O 0.6667 0.3333 0.7226
O 0.6667 0.3333 0.9440

2.
MoAuBr3 after structural relaxation. Source: the Alexandria database, functional PBEsol.

Unit cell a=5.1926 b=5.1926 c=5.1926 alpha=90.00 beta=90.00 gamma=90.00
Element x y z (fractional)
Mo 0.0000 0.0000 0.0000
Au 0.5000 0.5000 0.5000
Br 0.0000 0.5000 0.5000
Br 0.5000 0.0000 0.5000
Br 0.5000 0.5000 0.0000

3.
Gd2VFeO6 after structural relaxation. Source: the Alexandria database, functional PBEsol.

Unit cell a=5.2662 b=5.6077 c=9.1784 alpha=90.00 beta=124.66 gamma=90.00
Element x y z (fractional)
Gd 0.2295 0.0703 0.2487
Gd 0.2295 0.4297 0.7487
Gd 0.7705 0.5703 0.2513
Gd 0.7705 0.9297 0.7513
V 0.5000 0.0000 0.0000
V 0.5000 0.5000 0.5000
Fe 0.0000 0.0000 0.5000
Fe 0.0000 0.5000 0.0000
O 0.1509 0.1917 0.9502
O 0.1509 0.3083 0.4502
O 0.2611 0.7079 0.9466
O 0.2611 0.7921 0.4466
O 0.3571 0.0304 0.7557
O 0.3571 0.4696 0.2557
O 0.6429 0.5304 0.7443
O 0.6429 0.9696 0.2443
O 0.7389 0.2079 0.5534
O 0.7389 0.2921 0.0534
O 0.8491 0.6917 0.5498
O 0.8491 0.8083 0.0498

VASP energy readings, ordered: -4.885 -3.415 -10.620 eV/atom
D(E_F) readings, ordered: 0.33 1.13 0.50 states/eV/atom